DFT (GGA-PBE) results for a relaxed structure of Pm2Ni5Ge2. Values from VASP.

Cell and atoms, written as Quantum ESPRESSO input:
```
&SYSTEM
  ibrav = 0, nat = 9, ntyp = 3
/
ATOMIC_SPECIES
Ni 58.69 Ni.upf
Ge 72.64 Ge.upf
Pm 145.00 Pm.upf
ATOMIC_POSITIONS angstrom
Ni 2.0802 0.0000 2.3719
Ni 0.0000 2.0802 2.3719
Ge 2.0802 2.0802 1.3184
Ge 2.0802 2.0802 7.0790
Ni 2.0802 2.0802 4.1987
Pm 0.0000 0.0000 0.0000
Ni 0.0000 2.0802 6.0254
Ni 2.0802 0.0000 6.0254
Pm 0.0000 0.0000 4.1987
CELL_PARAMETERS angstrom
4.1605 0.0000 0.0000
0.0000 4.1605 0.0000
0.0000 0.0000 8.3974
```

Properties
- Total moment: 0.00 μB per formula unit
- Energy relative to the elements: -435 meV per atom



DFT (GGA-PBE) results for a relaxed structure of Pm2NiGe5. Values from VASP.

Cell and atoms, written as Quantum ESPRESSO input:
```
&SYSTEM
  ibrav = 0, nat = 8, ntyp = 3
/
ATOMIC_SPECIES
Pm 145.00 Pm.upf
Ge 72.64 Ge.upf
Ni 58.69 Ni.upf
ATOMIC_POSITIONS angstrom
Pm 0.0003 2.9422 2.4306
Ge -1.4157 -1.4157 4.7722
Ge 2.9423 2.9422 1.7794
Ge 1.4162 -1.4157 4.7723
Pm 2.9422 0.0002 2.4306
Ni 0.0000 0.0000 1.0204
Ge 1.4163 1.4162 4.7724
Ge -1.4156 1.4162 4.7723
CELL_PARAMETERS angstrom
5.8843 0.0000 0.0000
0.0001 5.8843 0.0000
-2.9419 -2.9419 4.8164
```

Properties
- Total moment: 0.00 μB per formula unit
- Energy relative to the elements: -462 meV per atom



DFT (GGA-PBE) results for a relaxed structure of Pm3Ni9Ge2. Values from VASP.

Cell and atoms, written as Quantum ESPRESSO input:
```
&SYSTEM
  ibrav = 0, nat = 14, ntyp = 3
/
ATOMIC_SPECIES
Ge 72.64 Ge.upf
Ni 58.69 Ni.upf
Pm 145.00 Pm.upf
ATOMIC_POSITIONS angstrom
Ge 1.7020 -3.5935 -6.4439
Ni 1.0378 -4.5816 -8.5073
Ge -1.2724 -5.9630 -4.4897
Ni 1.8260 -6.7446 -9.2509
Pm 1.1967 -6.7250 -6.3328
Ni -0.6082 -4.9748 -2.4264
Ni -1.8439 -6.8773 -6.6140
Pm -0.7671 -2.8315 -4.6009
Pm 0.0000 0.0000 0.0000
Ni -0.6237 -8.6961 -7.6415
Ni 2.2735 -2.6792 -4.3196
Ni 1.0533 -0.8604 -3.2921
Ni 1.3783 -4.9087 -3.8542
Ni -1.3964 -2.8118 -1.6827
CELL_PARAMETERS angstrom
-2.3269 0.2610 -3.2253
4.6193 -2.3269 -5.9835
-1.8628 -7.4906 -1.7248
```

Properties
- Total moment: 0.00 μB per formula unit
- Energy relative to the elements: -360 meV per atom



DFT (GGA-PBE) results for a relaxed structure of Pm6NiGe3. Values from VASP.

Cell and atoms, written as Quantum ESPRESSO input:
```
&SYSTEM
  ibrav = 0, nat = 20, ntyp = 3
/
ATOMIC_SPECIES
Pm 145.00 Pm.upf
Ni 58.69 Ni.upf
Ge 72.64 Ge.upf
ATOMIC_POSITIONS angstrom
Pm 7.8115 -0.3344 1.9971
Pm 3.8400 6.1508 2.7467
Pm -0.9890 7.3066 5.1315
Pm 7.3264 5.1487 -0.7162
Pm 4.2969 3.0765 0.9184
Pm 6.0660 2.6579 4.0325
Ni 0.0000 0.0000 0.0000
Ge 6.5520 5.0382 2.1581
Pm -0.5039 1.8235 7.8448
Ge 4.9194 0.3773 2.0438
Pm 2.5256 3.8957 6.2102
Ge 1.9277 4.9624 0.4226
Pm 4.9885 -0.8810 7.4187
Ni 3.4113 3.4861 3.5643
Pm 0.7565 4.3143 3.0961
Ge 1.9031 6.5949 5.0848
Pm 2.9826 0.8214 4.3819
Ge 4.8949 2.0098 6.7061
Pm 1.8340 7.8532 -0.2900
Ge 0.2705 1.9340 4.9705
CELL_PARAMETERS angstrom
8.5036 -0.6561 -0.6709
-0.8405 8.4873 -0.6709
-0.8405 -0.8590 8.4703
```

Properties
- Total moment: 0.01 μB per formula unit
- Energy relative to the elements: -465 meV per atom



DFT (GGA-PBE) results for a relaxed structure of Pm3Ni3Ge. Values from VASP.

Cell and atoms, written as Quantum ESPRESSO input:
```
&SYSTEM
  ibrav = 0, nat = 14, ntyp = 3
/
ATOMIC_SPECIES
Pm 145.00 Pm.upf
Ni 58.69 Ni.upf
Ge 72.64 Ge.upf
ATOMIC_POSITIONS angstrom
Pm -3.6164 -1.5967 -4.0873
Pm -3.5492 -1.7413 -0.3748
Ni -5.6336 -3.3172 1.2558
Ni -9.3190 -3.9684 -1.9577
Ge -8.3570 -5.9786 -1.0343
Pm -8.5262 -3.7298 1.0512
Ni -6.5040 -2.3619 -4.5886
Pm -6.4263 -3.5559 -1.7532
Pm -11.4033 -5.5443 -0.3272
Ni -3.6911 0.7272 -2.0727
Ni -8.4485 -4.9238 3.8866
Pm -11.3361 -5.6890 3.3853
Ge -6.5955 -1.3070 0.3323
Ni -11.2614 -8.0128 1.3707
CELL_PARAMETERS angstrom
-3.0230 1.7699 -2.1537
-1.3729 -3.0883 -4.5365
-10.5566 -5.9672 5.9882
```

Properties
- Total moment: 0.00 μB per formula unit
- Energy relative to the elements: -470 meV per atom
- ΔE to the lowest computed polymorph: 0.000 eV per atom



DFT (GGA-PBE) results for a relaxed structure of Pm2Ni2Ge. Values from VASP.

Cell and atoms, written as Quantum ESPRESSO input:
```
&SYSTEM
  ibrav = 0, nat = 10, ntyp = 3
/
ATOMIC_SPECIES
Ni 58.69 Ni.upf
Pm 145.00 Pm.upf
Ge 72.64 Ge.upf
ATOMIC_POSITIONS angstrom
Ni -10.9676 1.3008 1.8492
Pm -5.4226 -0.3528 -0.2453
Pm -3.2790 -1.8711 2.3341
Pm -7.8770 1.1740 1.7319
Ge -6.4368 -1.5682 2.3743
Ge -6.8629 2.3894 -0.8877
Pm -10.0206 2.6922 -0.8475
Ni -5.1295 2.3734 0.8047
Ni -2.3320 -0.4797 -0.3626
Ni -8.1701 -1.5522 0.6819
CELL_PARAMETERS angstrom
-2.9520 -2.0398 -2.0892
-3.0766 -3.2780 3.4218
-7.2710 6.1390 0.1540
```

Properties
- Total moment: 0.00 μB per formula unit
- Energy relative to the elements: -525 meV per atom
- ΔE to the lowest computed polymorph: 0.022 eV per atom



DFT (GGA-PBE) results for a relaxed structure of PmNi12Ge6. Values from VASP.

Cell and atoms, written as Quantum ESPRESSO input:
```
&SYSTEM
  ibrav = 0, nat = 19, ntyp = 3
/
ATOMIC_SPECIES
Ge 72.64 Ge.upf
Ni 58.69 Ni.upf
Pm 145.00 Pm.upf
ATOMIC_POSITIONS angstrom
Ge -3.4424 2.4955 0.1846
Ni -3.0649 0.1348 -0.3667
Ge -1.8791 -0.1126 3.8169
Ni -3.8243 -3.9864 1.4283
Ni -5.2809 -1.2347 1.3863
Ni -5.0082 2.2948 -1.4861
Ni -5.1767 1.4938 1.5181
Ge -3.6230 -2.2325 -0.0437
Ni -2.0585 1.3581 1.8612
Ge -5.4603 0.2360 -0.5693
Ni -5.1628 -1.7534 -1.6816
Ge -3.7164 2.3560 3.2912
Ge -3.8970 -2.3721 3.0629
Pm 0.0000 0.0000 0.0000
Ni -2.1627 -1.3704 1.7294
Ni -4.2745 -0.0113 3.6142
Ni -2.1766 1.8768 4.9292
Ni -2.3312 -2.1713 4.7336
Ni -3.5151 4.1098 1.8193
CELL_PARAMETERS angstrom
-3.8872 -5.0856 -1.9787
0.0295 -0.3243 6.6920
-3.4817 5.5334 -1.4658
```

Properties
- Total moment: 0.00 μB per formula unit
- Energy relative to the elements: -272 meV per atom



DFT (GGA-PBE) results for a relaxed structure of PmNi2Ge4. Values from VASP.

Cell and atoms, written as Quantum ESPRESSO input:
```
&SYSTEM
  ibrav = 0, nat = 28, ntyp = 3
/
ATOMIC_SPECIES
Ni 58.69 Ni.upf
Ge 72.64 Ge.upf
Pm 145.00 Pm.upf
ATOMIC_POSITIONS angstrom
Ni 3.0753 1.6505 17.0959
Ge 3.0753 6.4857 1.1633
Ge 1.0251 0.1261 16.5285
Ge 3.0753 1.9444 5.7135
Ge 3.0753 3.4320 10.0092
Ni 3.0753 1.6554 8.2500
Ge 1.0251 4.6674 11.9783
Ni 1.0251 4.9564 9.4418
Pm 1.0251 3.4971 15.2158
Ni 1.0251 0.0031 14.0158
Pm 3.0753 0.1912 11.3219
Ge 1.0251 0.9093 9.2846
Ge 3.0753 4.2152 17.2530
Ge 3.0753 1.3615 14.5593
Ni 1.0251 4.9613 0.5959
Pm 3.0753 3.1147 2.4760
Ge 1.0251 1.3027 3.6265
Ge 3.0753 4.6086 5.2194
Ni 1.0251 3.3028 5.1699
Ge 1.0251 3.1798 7.6826
Ge 3.0753 5.3091 14.0653
Ge 1.0251 2.3966 0.4388
Pm 1.0251 6.4206 6.3699
Ni 3.0753 3.3090 12.5219
Ni 3.0753 6.6087 3.6760
Ge 3.0753 5.7025 8.4071
Ge 1.0251 5.2503 3.1324
Ge 1.0251 2.0032 12.4724
CELL_PARAMETERS angstrom
4.1005 0.0000 0.0000
0.0000 6.6118 0.0000
0.0000 0.0000 17.6918
```

Properties
- Total moment: 0.00 μB per formula unit
- Energy relative to the elements: -435 meV per atom
- ΔE to the lowest computed polymorph: 0.000 eV per atom



DFT (GGA-PBE) results for a relaxed structure of PmNi6Ge4. Values from VASP.

Cell and atoms, written as Quantum ESPRESSO input:
```
&SYSTEM
  ibrav = 0, nat = 11, ntyp = 3
/
ATOMIC_SPECIES
Pm 145.00 Pm.upf
Ni 58.69 Ni.upf
Ge 72.64 Ge.upf
ATOMIC_POSITIONS angstrom
Pm 0.0000 0.0000 0.0000
Ni -5.0672 -1.7021 -1.1969
Ni -2.8410 -1.9334 0.2321
Ge -5.0191 -1.2961 1.2611
Ge -2.8349 0.4917 0.8045
Ni -3.6709 -2.3082 2.9308
Ge -1.5701 -3.0465 1.9529
Ni -1.4925 -2.5345 4.3292
Ni -1.6860 -0.6834 2.5159
Ni -3.0387 -0.0416 -1.6210
Ge -5.2320 0.7408 -0.7342
CELL_PARAMETERS angstrom
-1.4260 2.4090 2.6114
-5.7278 0.5951 -3.6768
0.5088 -4.8673 4.7678
```

Properties
- Total moment: 0.00 μB per formula unit
- Energy relative to the elements: -483 meV per atom



Fermi-level density of states, respectively: 4.9 3.5 8.8 10.8 5.7 4.2 13.9 2.9 5.7 states/eV/f.u..